Here is CsCaC3 after structural relaxation from the Alexandria database. Energies are from GGA-PBEsol.

```
CsCaC3
1.0
4.5596 0.0000 0.0000
0.0000 4.5596 0.0000
0.0000 0.0000 4.5596
Cs Ca C
1 1 3
Direct
0.0000 0.0000 0.0000
0.5000 0.5000 0.5000
0.0000 0.0000 0.5000
0.0000 0.5000 0.0000
0.5000 0.0000 0.0000
```

SG   Pm-3m
Electronic total energy   -15.6 eV for the cell shown